1.
This record from the Alexandria database describes crystalline Pr5Sm3In at its relaxed geometry. The functional is GGA-PBE.

a = 7.1107 Å, b = 7.1107 Å, c = 13.6216 Å
α = 90.07°, β = 90.07°, γ = 72.22°
Sites, in units of the cell vectors:
1 Pr 0.0013 0.0013 0.2562
2 Pr 0.0329 0.4775 0.3359
3 Pr 0.1732 0.8268 0.0000
4 Pr 0.2641 0.2641 0.8686
5 Pr 0.4775 0.0329 0.3359
6 Pr 0.5225 0.9671 0.6641
7 Pr 0.7359 0.7359 0.1314
8 Pr 0.8268 0.1732 0.0000
9 Pr 0.9671 0.5225 0.6641
10 Pr 0.9987 0.9987 0.7438
11 Sm 0.1340 0.1340 0.5110
12 Sm 0.2590 0.2590 0.1186
13 Sm 0.5000 0.5000 0.0000
14 Sm 0.5000 0.5000 0.5000
15 Sm 0.7410 0.7410 0.8814
16 Sm 0.8660 0.8660 0.4890
17 In 0.4963 0.4963 0.2570
18 In 0.5037 0.5037 0.7430

V ... 655.85 Å³/cell
Energy of formation ... 24.6 kJ/mol of atoms

2.
This record from the Alexandria database describes crystalline Pr5Sm3In2 at its relaxed geometry. The functional is GGA-PBE.

a = 10.7642 Å, b = 10.7642 Å, c = 10.7642 Å
α = 103.57°, β = 87.58°, γ = 143.87°
Sites, in units of the cell vectors:
1 Pr 0.1617 0.1263 0.2880
2 Pr 0.2500 0.2500 0.0000
3 Pr 0.2500 0.5012 0.2512
4 Pr 0.2500 0.9988 0.7488
5 Pr 0.3383 0.6263 0.9646
6 Pr 0.6617 0.3737 0.0354
7 Pr 0.7500 0.0012 0.2512
8 Pr 0.7500 0.4988 0.7488
9 Pr 0.7500 0.7500 0.0000
10 Pr 0.8383 0.8737 0.7120
11 Sm 0.2349 0.3878 0.6228
12 Sm 0.2500 0.7500 0.5000
13 Sm 0.2651 0.8878 0.1529
14 Sm 0.7349 0.1122 0.8471
15 Sm 0.7500 0.2500 0.5000
16 Sm 0.7651 0.6122 0.3772
17 In 0.1452 0.6260 0.7712
18 In 0.3548 0.1260 0.4808
19 In 0.6452 0.8740 0.5192
20 In 0.8548 0.3740 0.2288

V ... 690.93 Å³/cell
Energy of formation ... 7.5 kJ/mol of atoms

3.
This record from the Alexandria database describes crystalline PrSm6In5 at its relaxed geometry. The functional is GGA-PBE.

a = 8.3823 Å, b = 8.3823 Å, c = 8.5009 Å
α = 90.00°, β = 90.00°, γ = 143.89°
Sites, in units of the cell vectors:
1 Pr 0.0000 0.0000 0.0000
2 Sm 0.1728 0.8272 0.2504
3 Sm 0.1728 0.8272 0.7496
4 Sm 0.5000 0.5000 0.2738
5 Sm 0.5000 0.5000 0.7262
6 Sm 0.8272 0.1728 0.2504
7 Sm 0.8272 0.1728 0.7496
8 In 0.0000 0.0000 0.5000
9 In 0.3286 0.6714 0.5000
10 In 0.3511 0.6489 0.0000
11 In 0.6489 0.3511 0.0000
12 In 0.6714 0.3286 0.5000

V ... 352.03 Å³/cell
Energy relative to the lowest polymorph listed for this composition ... 14 meV/atom
Energy of formation ... -36.4 kJ/mol of atoms

4.
This record from the Alexandria database describes crystalline Pr4Sm5In at its relaxed geometry. The functional is GGA-PBE.

a = 8.2343 Å, b = 8.2343 Å, c = 8.2343 Å
α = 97.65°, β = 97.65°, γ = 137.20°
Sites, in units of the cell vectors:
1 Pr 0.0000 0.3103 0.3103
2 Pr 0.0000 0.6897 0.6897
3 Pr 0.3103 0.0000 0.3103
4 Pr 0.6897 0.0000 0.6897
5 Sm 0.2053 0.2053 0.0000
6 Sm 0.3088 0.3088 0.6294
7 Sm 0.3088 0.6794 0.0000
8 Sm 0.6794 0.3088 0.0000
9 Sm 0.6794 0.6794 0.3706
10 In 0.7237 0.7237 0.0000

V ... 353.17 Å³/cell
Energy relative to the lowest polymorph listed for this composition ... 75 meV/atom
Energy of formation ... 7.0 kJ/mol of atoms

5.
This record from the Alexandria database describes crystalline Pr2Sm3In at its relaxed geometry. The functional is GGA-PBE.

a = 7.9872 Å, b = 7.9872 Å, c = 7.9872 Å
α = 155.03°, β = 101.37°, γ = 84.05°
Sites, in units of the cell vectors:
1 Pr 0.1732 0.0000 0.1732
2 Pr 0.8268 0.0000 0.8268
3 Sm 0.0898 0.7519 0.3379
4 Sm 0.4139 0.7519 0.6621
5 Sm 0.7158 0.7158 0.0000
6 In 0.4831 0.9831 0.5000

V ... 207.37 Å³/cell
Energy relative to the lowest polymorph listed for this composition ... 373 meV/atom
Energy of formation ... 21.6 kJ/mol of atoms

6.
This record from the Alexandria database describes crystalline Pr6Sm8In at its relaxed geometry. The functional is GGA-PBE.

a = 9.5169 Å, b = 9.5169 Å, c = 6.6240 Å
α = 90.00°, β = 90.00°, γ = 120.00°
Sites, in units of the cell vectors:
1 Pr 0.0907 0.6453 0.1735
2 Pr 0.3547 0.4454 0.1735
3 Pr 0.4454 0.0907 0.8265
4 Pr 0.5546 0.9093 0.1735
5 Pr 0.6453 0.5546 0.8265
6 Pr 0.9093 0.3547 0.8265
7 Sm 0.0399 0.7746 0.6826
8 Sm 0.2254 0.2653 0.6826
9 Sm 0.2653 0.0399 0.3174
10 Sm 0.3333 0.6667 0.6421
11 Sm 0.6667 0.3333 0.3579
12 Sm 0.7347 0.9601 0.6826
13 Sm 0.7746 0.7347 0.3174
14 Sm 0.9601 0.2254 0.3174
15 In 0.0000 0.0000 0.0000

V ... 519.57 Å³/cell
Energy of formation ... 5.4 kJ/mol of atoms

7.
This record from the Alexandria database describes crystalline Pr5Sm5In2 at its relaxed geometry. The functional is GGA-PBE.

a = 6.3690 Å, b = 6.3690 Å, c = 12.9449 Å
α = 91.75°, β = 91.75°, γ = 49.94°
Sites, in units of the cell vectors:
1 Pr 0.0000 0.0000 0.0000
2 Pr 0.1206 0.1206 0.7677
3 Pr 0.3011 0.3011 0.4251
4 Pr 0.6989 0.6989 0.5749
5 Pr 0.8794 0.8794 0.2323
6 Sm 0.0000 0.0000 0.5000
7 Sm 0.3399 0.3399 0.9849
8 Sm 0.4076 0.4076 0.6911
9 Sm 0.5924 0.5924 0.3089
10 Sm 0.6601 0.6601 0.0151
11 In 0.1888 0.1888 0.1923
12 In 0.8112 0.8112 0.8077

V ... 401.67 Å³/cell
Energy of formation ... -6.8 kJ/mol of atoms

8.
This record from the Alexandria database describes crystalline PrSmIn6 at its relaxed geometry. The functional is GGA-PBE.

a = 4.7118 Å, b = 4.7118 Å, c = 9.4234 Å
α = 90.00°, β = 90.00°, γ = 90.00°
Sites, in units of the cell vectors:
1 Pr 0.0000 0.0000 0.0000
2 Sm 0.0000 0.0000 0.5000
3 In 0.0000 0.5000 0.2529
4 In 0.0000 0.5000 0.7471
5 In 0.5000 0.0000 0.2529
6 In 0.5000 0.0000 0.7471
7 In 0.5000 0.5000 0.0000
8 In 0.5000 0.5000 0.5000

V ... 209.21 Å³/cell
Energy relative to the lowest polymorph listed for this composition ... 0 meV/atom
Energy of formation ... -45.0 kJ/mol of atoms

Q: The highest energy of formation belongs to which entry?
A: Pr5Sm3In

Q: Among the records above, which one has the highest energy of formation?
A: Pr5Sm3In